First-principles (GGA-PBE) data for an optimized crystal structure of CrTe2Ir, as listed in Alexandria.

Cell: 5.9935 7.8139 3.9645 Å, 90.00 90.00 90.00°
Space group Cmmm (No. 65)
Unique sites:
Cr 0.0000 0.0000 0.0000 (multiplicity 2)
Te 0.0000 0.2782 0.5000 (multiplicity 4)
Ir 0.0000 0.5000 0.0000 (multiplicity 2)

Computed properties:
D(E_F): 0.5316 states/eV/atom
formation energy (no corrections): 339 meV per atom